# 1
# Cs2RbMgTl (GGA-PBE, optimized geometry)
# DFT total energy: -1.209 eV per atom
# total magnetization: 0.000 μB per atom
# ΔH_f (0 K): 0.118 eV per atom
# relative energy among the computed polymorphs: 0.000 eV/f.u.
data_Cs2RbMgTl
_chemical_formula_sum 'Cs2 Rb1 Mg1 Tl1'
_cell_length_a 7.685
_cell_length_b 7.685
_cell_length_c 5.761
_cell_angle_alpha 90.00
_cell_angle_beta 90.00
_cell_angle_gamma 90.00
_symmetry_space_group_name_H-M 'P 4/m m m'
_symmetry_Int_Tables_number 123
_symmetry_space_group_name_Hall '-P 4 2'
loop_
_atom_site_label
_atom_site_type_symbol
_atom_site_fract_x
_atom_site_fract_y
_atom_site_fract_z
Cs1 Cs 0.000 0.500 0.000
Rb1 Rb 0.000 0.000 0.500
Mg1 Mg 0.500 0.500 0.500
Tl1 Tl 0.500 0.500 0.000

# 2
# RbNiPd2 (GGA-PBE, optimized geometry)
# DFT total energy: -3.543 eV per atom
# total magnetization: 0.170 μB per atom
# ΔH_f (0 K): 0.740 eV per atom
# relative energy among the computed polymorphs: 0.995 eV/f.u.
data_RbNiPd2
_chemical_formula_sum 'Rb4 Ni4 Pd8'
_cell_length_a 6.726
_cell_length_b 6.726
_cell_length_c 6.726
_cell_angle_alpha 90.00
_cell_angle_beta 90.00
_cell_angle_gamma 90.00
_symmetry_space_group_name_H-M 'F m -3 m'
_symmetry_Int_Tables_number 225
_symmetry_space_group_name_Hall '-F 4 2 3'
loop_
_atom_site_label
_atom_site_type_symbol
_atom_site_fract_x
_atom_site_fract_y
_atom_site_fract_z
Rb1 Rb 0.000 0.000 0.000
Ni1 Ni 0.000 0.000 0.500
Pd1 Pd 0.250 0.250 0.250

# 3
# K2MoRh (GGA-PBE, optimized geometry)
# DFT total energy: -3.925 eV per atom
# total magnetization: 0.000 μB per atom
# ΔH_f (0 K): 1.169 eV per atom
# relative energy among the computed polymorphs: 2.194 eV/f.u.
data_K2MoRh
_chemical_formula_sum 'K4 Mo2 Rh2'
_cell_length_a 3.853
_cell_length_b 3.853
_cell_length_c 11.673
_cell_angle_alpha 90.00
_cell_angle_beta 90.00
_cell_angle_gamma 90.00
_symmetry_space_group_name_H-M 'I 4/m m m'
_symmetry_Int_Tables_number 139
_symmetry_space_group_name_Hall '-I 4 2'
loop_
_atom_site_label
_atom_site_type_symbol
_atom_site_fract_x
_atom_site_fract_y
_atom_site_fract_z
K1 K 0.000 0.500 0.250
Mo1 Mo 0.000 0.000 0.000
Rh1 Rh 0.000 0.000 0.500

# 4
# BaTeSeO6 (GGA-PBE, optimized geometry)
# raw formation energy: -1.36 eV/atom
# DFT total energy: -5.611 eV per atom
# total magnetization: 0.000 μB per atom
data_BaTeSeO6
_chemical_formula_sum 'Ba1 Te1 Se1 O6'
_cell_length_a 5.3979
_cell_length_b 5.3979
_cell_length_c 5.8276
_cell_angle_alpha 90.00
_cell_angle_beta 90.00
_cell_angle_gamma 120.00
_symmetry_space_group_name_H-M 'P 3 1 2'
_symmetry_Int_Tables_number 149
loop_
_symmetry_equiv_pos_as_xyz
'x,y,z'
'-y,x-y,z'
'-x+y,-x,z'
'-y,-x,-z'
'-x+y,y,-z'
'x,x-y,-z'
loop_
_atom_site_label
_atom_site_type_symbol
_atom_site_fract_x
_atom_site_fract_y
_atom_site_fract_z
Ba1 Ba 0.0000 0.0000 0.0000
Te1 Te 0.6667 0.3333 0.5000
Se1 Se 0.3333 0.6667 0.5000
O1 O 0.3926 0.0160 0.6934

# 5
# Ba2MnAs4Pd3 (GGA-PBE, optimized geometry)
# DFT total energy: -5.434 eV per atom
# total magnetization: 0.386 μB per atom
# ΔH_f (0 K): -0.714 eV per atom
data_Ba2MnAs4Pd3
_chemical_formula_sum 'Ba2 Mn1 As4 Pd3'
_cell_length_a 4.535
_cell_length_b 4.535
_cell_length_c 10.521
_cell_angle_alpha 90.00
_cell_angle_beta 90.00
_cell_angle_gamma 90.00
_symmetry_space_group_name_H-M 'P -4 m 2'
_symmetry_Int_Tables_number 115
loop_
_symmetry_equiv_pos_as_xyz
'x,y,z'
'y,-x,-z'
'-x,-y,z'
'-y,x,-z'
'-x,y,z'
'-y,-x,-z'
'x,-y,z'
'y,x,-z'
loop_
_atom_site_label
_atom_site_type_symbol
_atom_site_fract_x
_atom_site_fract_y
_atom_site_fract_z
Ba1 Ba 0.000 0.500 0.246
Mn1 Mn 0.000 0.000 0.500
As1 As 0.000 0.000 0.000
As2 As 0.000 0.500 0.627
As3 As 0.500 0.500 0.000
Pd1 Pd 0.000 0.500 0.884
Pd2 Pd 0.500 0.500 0.500

# 6
# BaSr3C4O12 (GGA-PBE, optimized geometry)
# raw formation energy: -2.24 eV/atom
# DFT total energy: -7.412 eV per atom
# total magnetization: 0.000 μB per atom
data_BaSr3C4O12
_chemical_formula_sum 'Ba3 Sr9 C12 O36'
_cell_length_a 10.6722
_cell_length_b 10.6722
_cell_length_c 9.5671
_cell_angle_alpha 90.00
_cell_angle_beta 90.00
_cell_angle_gamma 120.00
_symmetry_space_group_name_H-M 'R 3 2'
_symmetry_Int_Tables_number 155
_symmetry_space_group_name_Hall 'R 3 2"'
loop_
_atom_site_label
_atom_site_type_symbol
_atom_site_fract_x
_atom_site_fract_y
_atom_site_fract_z
Ba1 Ba 0.0000 0.0000 0.0000
Sr1 Sr 0.0000 0.5270 0.0000
C1 C 0.0000 0.0000 0.5000
C2 C 0.0000 0.4715 0.5000
O1 O 0.0000 0.5938 0.5000
O2 O 0.0000 0.8782 0.5000
O3 O 0.0171 0.2115 0.8253

# 7
# La4CSI2 (GGA-PBE, optimized geometry)
# raw formation energy: -1.19 eV/atom
# DFT total energy: -5.705 eV per atom
# total magnetization: 0.000 μB per atom
data_La4CSI2
_chemical_formula_sum 'La4 C1 S1 I2'
_cell_length_a 7.227
_cell_length_b 4.091
_cell_length_c 8.165
_cell_angle_alpha 90.00
_cell_angle_beta 106.62
_cell_angle_gamma 90.00
_symmetry_space_group_name_H-M 'P 1 2/m 1'
_symmetry_Int_Tables_number 10
loop_
_symmetry_equiv_pos_as_xyz
'x,y,z'
'-x,-y,-z'
'-x,y,-z'
'x,-y,z'
loop_
_atom_site_label
_atom_site_type_symbol
_atom_site_fract_x
_atom_site_fract_y
_atom_site_fract_z
La1 La 0.205 0.000 0.179
La2 La 0.244 0.500 0.816
C1 C 0.000 0.500 0.000
S1 S 0.500 0.000 0.000
I1 I 0.000 0.000 0.500
I2 I 0.500 0.500 0.500

# 8
# Ta5Tc4W (GGA-PBE, optimized geometry)
# DFT total energy: -11.782 eV per atom
# total magnetization: 0.000 μB per atom
# ΔH_f (0 K): -0.414 eV per atom
data_Ta5Tc4W
_chemical_formula_sum 'Ta5 Tc4 W1'
_cell_length_a 3.195
_cell_length_b 3.195
_cell_length_c 16.046
_cell_angle_alpha 90.00
_cell_angle_beta 90.00
_cell_angle_gamma 90.00
_symmetry_space_group_name_H-M 'P 4/m m m'
_symmetry_Int_Tables_number 123
_symmetry_space_group_name_Hall '-P 4 2'
loop_
_atom_site_label
_atom_site_type_symbol
_atom_site_fract_x
_atom_site_fract_y
_atom_site_fract_z
Ta1 Ta 0.000 0.000 0.000
Ta2 Ta 0.000 0.000 0.199
Ta3 Ta 0.000 0.000 0.398
Tc1 Tc 0.500 0.500 0.099
Tc2 Tc 0.500 0.500 0.297
W1 W 0.500 0.500 0.500